HoCuOs PBE optimized geometry; energy relative to the lowest polymorph listed for this composition = 0.000 eV/atom; mass density = 11.36 g/cm3; ΔE_f = 1.67 eV per formula unit; space group = F-43m; final energy = -5.9491 eV/atom
1.0
0.0000 3.1276 3.1276
3.1276 0.0000 3.1276
3.1276 3.1276 0.0000
Os Cu Ho
1 1 1
Direct
0.0000 0.0000 0.0000
0.2500 0.2500 0.2500
0.7500 0.7500 0.7500